# ScI2O PBE relaxed
# Relative energy among the computed polymorphs: 0 meV/atom
# E_tot: -3.87 eV/atom
# Formation energy without anion corrections: -0.2701 eV per atom
data_ScI2O
_space_group_name_H-M_alt 'F m -3 m'
_space_group_IT_number 225
_space_group_name_Hall '-F 4 2 3'
_cell_length_a 7.067
_cell_length_b 7.067
_cell_length_c 7.067
_cell_angle_alpha 90.00
_cell_angle_beta 90.00
_cell_angle_gamma 90.00
loop_
_atom_site_label
_atom_site_type_symbol
_atom_site_fract_x
_atom_site_fract_y
_atom_site_fract_z
Sc1 Sc 0.000 0.000 0.000
I1 I 0.250 0.250 0.250
O1 O 0.000 0.000 0.500


# InSbRu2 PBE relaxed
# E_tot: -5.84 eV/atom
# Formation energy without anion corrections: 0.5109 eV per atom
data_InSbRu2
_space_group_name_H-M_alt 'F -4 3 m'
_space_group_IT_number 216
_space_group_name_Hall 'F -4 2 3'
_cell_length_a 6.625
_cell_length_b 6.625
_cell_length_c 6.625
_cell_angle_alpha 90.00
_cell_angle_beta 90.00
_cell_angle_gamma 90.00
loop_
_atom_site_label
_atom_site_type_symbol
_atom_site_fract_x
_atom_site_fract_y
_atom_site_fract_z
In1 In 0.000 0.000 0.000
Sb1 Sb 0.250 0.250 0.750
Ru1 Ru 0.000 0.000 0.500
Ru2 Ru 0.250 0.250 0.250


# Pr3SmHo2Se6 PBE relaxed
# E_tot: -5.90 eV/atom
# Formation energy without anion corrections: -1.8058 eV per atom
data_Pr3SmHo2Se6
_space_group_name_H-M_alt 'C 1 2/m 1'
_space_group_IT_number 12
_cell_length_a 7.164
_cell_length_b 12.469
_cell_length_c 7.345
_cell_angle_alpha 90.00
_cell_angle_beta 109.08
_cell_angle_gamma 90.00
loop_
_space_group_symop_operation_xyz
'x,y,z'
'-x,-y,-z'
'-x,y,-z'
'x,-y,z'
'x+1/2,y+1/2,z'
'-x+1/2,-y+1/2,-z'
'-x+1/2,y+1/2,-z'
'x+1/2,-y+1/2,z'
loop_
_atom_site_label
_atom_site_type_symbol
_atom_site_fract_x
_atom_site_fract_y
_atom_site_fract_z
Pr1 Pr 0.000 0.000 0.000
Pr2 Pr 0.000 0.338 0.000
Sm1 Sm 0.000 0.500 0.500
Ho1 Ho 0.000 0.166 0.500
Se1 Se 0.237 0.000 0.732
Se2 Se 0.249 0.330 0.735


# Re2SO PBE relaxed
# Relative energy among the computed polymorphs: 68 meV/atom
# E_tot: -8.10 eV/atom
# Formation energy without anion corrections: 0.4003 eV per atom
data_Re2SO
_space_group_name_H-M_alt 'F m -3 m'
_space_group_IT_number 225
_space_group_name_Hall '-F 4 2 3'
_cell_length_a 5.739
_cell_length_b 5.739
_cell_length_c 5.739
_cell_angle_alpha 90.00
_cell_angle_beta 90.00
_cell_angle_gamma 90.00
loop_
_atom_site_label
_atom_site_type_symbol
_atom_site_fract_x
_atom_site_fract_y
_atom_site_fract_z
Re1 Re 0.250 0.250 0.250
S1 S 0.000 0.000 0.000
O1 O 0.000 0.000 0.500